No. 1
A geometry-optimized AcLu3N structure, computed with GGA-PBE.

Geometry as POSCAR:
```
AcLu3N
1.0
4.9580 0.0000 0.0000
0.0000 4.9580 0.0000
0.0000 0.0000 4.9580
Ac Lu N
1 3 1
Direct
0.0000 0.0000 0.0000 Ac
0.0000 0.5000 0.5000 Lu
0.5000 0.0000 0.5000 Lu
0.5000 0.5000 0.0000 Lu
0.5000 0.5000 0.5000 N
```

The density of states at the Fermi level is 6.947 states/eV per cell. Its formation energy from raw total energies is -0.3960 eV per atom. Its space group is Pm-3m (221).

***

No. 2
A geometry-optimized Li2NbSe2O2 structure, computed with GGA-PBE.

Geometry as POSCAR:
```
Li2NbSe2O2
1.0
6.2823 -1.7527 0.0000
6.2823 1.7527 0.0000
-2.3445 0.0000 5.1744
Li Nb Se O
2 1 2 2
Direct
0.2470 0.2470 0.1611 Li
0.7530 0.7530 0.8389 Li
0.5000 0.5000 0.0000 Nb
0.0695 0.0695 0.4011 Se
0.9305 0.9305 0.5989 Se
0.3389 0.3389 0.9521 O
0.6611 0.6611 0.0479 O
```

The density of states at the Fermi level is 0.991 states/eV per cell. Its formation energy from raw total energies is -1.4912 eV per atom. Its space group is C2/m (12).

***

No. 3
A geometry-optimized Cs2Np2Se2S structure, computed with GGA-PBE.

Geometry as POSCAR:
```
Cs2Np2Se2S
1.0
-2.6097 2.6097 9.0681
2.6097 -2.6097 9.0681
2.6097 2.6097 -9.0681
Cs Np Se S
2 2 2 1
Direct
0.1863 0.1863 0.0000 Cs
0.8137 0.8137 0.0000 Cs
0.0000 0.5000 0.5000 Np
0.5000 0.0000 0.5000 Np
0.3993 0.3993 0.0000 Se
0.6007 0.6007 0.0000 Se
0.0000 0.0000 0.0000 S
```

The density of states at the Fermi level is 13.850 states/eV per cell. Its formation energy from raw total energies is -0.8877 eV per atom. Its space group is I4/mmm (139).

***

No. 4
A geometry-optimized ZrAsIr structure, computed with GGA-PBE.

Geometry as POSCAR:
```
ZrAsIr
1.0
4.2733 0.0000 0.0000
2.0584 4.9397 0.0000
0.8385 1.2780 5.2524
Zr As Ir
2 2 2
Direct
0.0000 0.0000 0.0000 Zr
0.3513 0.5449 0.5581 Zr
0.0503 0.1811 0.4688 As
0.7342 0.6224 0.9281 As
0.3323 0.3654 0.0808 Ir
0.6629 0.9446 0.4930 Ir
```

The density of states at the Fermi level is 3.344 states/eV per cell. The formation energy from the elements is -0.711 eV per atom. Its space group is P1 (1).

***

No. 5
A geometry-optimized Li2La2ErTl5 structure, computed with GGA-PBE.

Geometry as POSCAR:
```
Li2La2ErTl5
1.0
10.8381 0.0000 0.0000
0.0000 10.8381 0.0000
0.0000 0.0000 4.4097
Li La Er Tl
4 4 2 10
Direct
0.1175 0.3825 0.0000 Li
0.3825 0.8825 0.0000 Li
0.6175 0.1175 0.0000 Li
0.8825 0.6175 0.0000 Li
0.1771 0.6771 0.0000 La
0.3229 0.1771 0.0000 La
0.6771 0.8229 0.0000 La
0.8229 0.3229 0.0000 La
0.0000 0.0000 0.0000 Er
0.5000 0.5000 0.0000 Er
0.0000 0.5000 0.5000 Tl
0.0694 0.2093 0.5000 Tl
0.2093 0.9306 0.5000 Tl
0.2907 0.4306 0.5000 Tl
0.4306 0.7093 0.5000 Tl
0.5000 0.0000 0.5000 Tl
0.5694 0.2907 0.5000 Tl
0.7093 0.5694 0.5000 Tl
0.7907 0.0694 0.5000 Tl
0.9306 0.7907 0.5000 Tl
```

The density of states at the Fermi level is 8.579 states/eV per cell. The formation energy from the elements is -0.331 eV per atom. Its space group is P4/mbm (127).

***

No. 6
A geometry-optimized YSe2Cl structure, computed with GGA-PBE.

Geometry as POSCAR:
```
YSe2Cl
1.0
3.9444 0.0000 0.0000
0.0000 3.9444 0.0000
0.0000 0.0000 6.1278
Y Se Cl
1 2 1
Direct
0.0000 0.0000 0.0000 Y
0.5000 0.5000 0.1994 Se
0.5000 0.5000 0.8006 Se
0.0000 0.0000 0.5000 Cl
```

The density of states at the Fermi level is 1.177 states/eV per cell. Its formation energy from raw total energies is -1.2291 eV per atom. Its space group is P4/mmm (123). Its energy above the most stable polymorph in this dataset is 0.174 eV per atom.

***

No. 7
A geometry-optimized CaNd12Ni6 structure, computed with GGA-PBE.

Geometry as POSCAR:
```
CaNd12Ni6
1.0
-5.1145 5.1145 5.1145
5.1145 -5.1145 5.1145
5.1145 5.1145 -5.1145
Ca Nd Ni
1 12 6
Direct
0.0000 0.0000 0.0000 Ca
0.1277 0.3150 0.8127 Nd
0.1873 0.5023 0.3150 Nd
0.1873 0.8723 0.6850 Nd
0.3150 0.1873 0.5023 Nd
0.3150 0.8127 0.1277 Nd
0.4977 0.6850 0.8127 Nd
0.5023 0.3150 0.1873 Nd
0.6850 0.1873 0.8723 Nd
0.6850 0.8127 0.4977 Nd
0.8127 0.1277 0.3150 Nd
0.8127 0.4977 0.6850 Nd
0.8723 0.6850 0.1873 Nd
0.1195 0.5000 0.6195 Ni
0.3805 0.8805 0.5000 Ni
0.5000 0.3805 0.8805 Ni
0.5000 0.6195 0.1195 Ni
0.6195 0.1195 0.5000 Ni
0.8805 0.5000 0.3805 Ni
```

The density of states at the Fermi level is 22.613 states/eV per cell. The formation energy from the elements is -0.179 eV per atom. Its space group is Im-3 (204).

***

No. 8
A geometry-optimized Nd6Ho8Sc structure, computed with GGA-PBE.

Geometry as POSCAR:
```
Nd6Ho8Sc
1.0
4.5350 2.6183 6.9087
-4.5350 2.6183 6.9087
0.0000 -5.2365 6.9087
Nd Ho Sc
6 8 1
Direct
0.0414 0.7265 0.6022 Nd
0.2735 0.3978 0.9586 Nd
0.3978 0.9586 0.2735 Nd
0.6022 0.0414 0.7265 Nd
0.7265 0.6022 0.0414 Nd
0.9586 0.2735 0.3978 Nd
0.0770 0.0770 0.0770 Ho
0.2181 0.2514 0.6115 Ho
0.2514 0.6114 0.2181 Ho
0.3886 0.7819 0.7486 Ho
0.6114 0.2181 0.2514 Ho
0.7486 0.3886 0.7819 Ho
0.7819 0.7486 0.3886 Ho
0.9230 0.9230 0.9230 Ho
0.5000 0.5000 0.5000 Sc
```

The density of states at the Fermi level is 22.013 states/eV per cell. The formation energy from the elements is 0.115 eV per atom. Its space group is R-3 (148). Its energy above the most stable polymorph in this dataset is 0.000 eV per atom.

***

No. 9
A geometry-optimized ZrPd8Au6 structure, computed with GGA-PBE.

Geometry as POSCAR:
```
ZrPd8Au6
1.0
7.6822 0.0000 0.0000
-3.8411 6.6530 0.0000
0.0000 0.0000 5.1501
Zr Pd Au
1 8 6
Direct
0.0000 0.0000 0.0000 Zr
0.0496 0.7680 0.6829 Pd
0.2320 0.2815 0.6829 Pd
0.2815 0.0496 0.3171 Pd
0.3333 0.6667 0.7017 Pd
0.6667 0.3333 0.2983 Pd
0.7185 0.9504 0.6829 Pd
0.7680 0.7185 0.3171 Pd
0.9504 0.2320 0.3171 Pd
0.1040 0.6470 0.1895 Au
0.3530 0.4570 0.1895 Au
0.4570 0.1040 0.8105 Au
0.5430 0.8960 0.1895 Au
0.6470 0.5430 0.8105 Au
0.8960 0.3530 0.8105 Au
```

The density of states at the Fermi level is 4.082 states/eV per cell. The formation energy from the elements is -0.113 eV per atom. Its space group is P-3 (147). Its energy above the most stable polymorph in this dataset is 0.000 eV per atom.

***

No. 10
A geometry-optimized CsBaTc3 structure, computed with GGA-PBE.

Geometry as POSCAR:
```
CsBaTc3
1.0
5.1658 0.0000 0.0000
0.0000 5.1658 0.0000
0.0000 0.0000 5.1658
Cs Ba Tc
1 1 3
Direct
0.0000 0.0000 0.0000 Cs
0.5000 0.5000 0.5000 Ba
0.0000 0.0000 0.5000 Tc
0.0000 0.5000 0.0000 Tc
0.5000 0.0000 0.0000 Tc
```

The density of states at the Fermi level is 9.743 states/eV per cell. The formation energy from the elements is 2.573 eV per atom. Its space group is Pm-3m (221).

***

No. 11
A geometry-optimized Hf4MnIr structure, computed with GGA-PBE.

Geometry as POSCAR:
```
Hf4MnIr
1.0
5.3486 0.0000 0.0000
0.0000 6.0016 0.0000
-2.5736 0.0000 7.1686
Hf Mn Ir
8 2 2
Direct
0.0320 0.0035 0.2717 Hf
0.0320 0.4965 0.2717 Hf
0.4036 0.2500 0.0636 Hf
0.4330 0.2500 0.6456 Hf
0.5670 0.7500 0.3544 Hf
0.5964 0.7500 0.9364 Hf
0.9680 0.5035 0.7283 Hf
0.9680 0.9965 0.7283 Hf
0.1660 0.7500 0.0324 Mn
0.8340 0.2500 0.9676 Mn
0.2934 0.7500 0.5833 Ir
0.7066 0.2500 0.4167 Ir
```

The density of states at the Fermi level is 11.153 states/eV per cell. The formation energy from the elements is -0.316 eV per atom. Its space group is P2_1/m (11). Its energy above the most stable polymorph in this dataset is 0.000 eV per atom.

***

No. 12
A geometry-optimized RbHfBeSn2 structure, computed with GGA-PBE.

Geometry as POSCAR:
```
RbHfBeSn2
1.0
5.5851 0.0000 0.0000
0.0000 5.5851 0.0000
0.0000 0.0000 5.2753
Rb Hf Be Sn
1 1 1 2
Direct
0.0000 0.0000 0.0000 Rb
0.5000 0.5000 0.5000 Hf
0.5000 0.5000 0.0000 Be
0.0000 0.5000 0.5000 Sn
0.5000 0.0000 0.5000 Sn
```

The density of states at the Fermi level is 4.035 states/eV per cell. The formation energy from the elements is 0.454 eV per atom. Its space group is P4/mmm (123).

***

No. 13
A geometry-optimized Sr2RhCl structure, computed with GGA-PBE.

Geometry as POSCAR:
```
Sr2RhCl
1.0
3.7193 -2.1479 0.0000
3.7193 2.1479 0.0000
-2.4881 0.0000 7.4318
Sr Rh Cl
2 1 1
Direct
0.2399 0.2399 0.2192 Sr
0.7601 0.7601 0.7808 Sr
0.5000 0.5000 0.0000 Rh
0.0000 0.0000 0.5000 Cl
```

The density of states at the Fermi level is 2.062 states/eV per cell. Its formation energy from raw total energies is -0.9816 eV per atom. Its space group is C2/m (12). Its energy above the most stable polymorph in this dataset is 0.001 eV per atom.

***

No. 14
A geometry-optimized InBr2Cl structure, computed with GGA-PBE.

Geometry as POSCAR:
```
InBr2Cl
1.0
2.0076 -4.9111 0.0000
2.0076 4.9111 0.0000
0.0000 0.0000 8.3021
In Br Cl
1 2 1
Direct
0.0000 0.0000 0.0000 In
0.5000 0.5000 0.2255 Br
0.5000 0.5000 0.7745 Br
0.0000 0.0000 0.5000 Cl
```

The density of states at the Fermi level is 1.056 states/eV per cell. Its formation energy from raw total energies is -0.2682 eV per atom. Its space group is Cmmm (65). Its energy above the most stable polymorph in this dataset is 0.642 eV per atom.

***

No. 15
A geometry-optimized Ac6Tl2IrN structure, computed with GGA-PBE.

Geometry as POSCAR:
```
Ac6Tl2IrN
1.0
7.9240 0.0000 0.0000
0.0000 11.2186 0.0000
0.0000 0.0000 7.9234
Ac Tl Ir N
12 4 2 2
Direct
0.0105 0.2500 0.0097 Ac
0.0101 0.2500 0.4890 Ac
0.2500 0.0111 0.2497 Ac
0.2500 0.4889 0.2497 Ac
0.4895 0.2500 0.0097 Ac
0.4899 0.2500 0.4890 Ac
0.5101 0.7500 0.5110 Ac
0.5105 0.7500 0.9903 Ac
0.7500 0.5111 0.7503 Ac
0.7500 0.9889 0.7503 Ac
0.9899 0.7500 0.5110 Ac
0.9895 0.7500 0.9903 Ac
0.2500 0.9996 0.7502 Tl
0.2500 0.5004 0.7502 Tl
0.7500 0.0004 0.2498 Tl
0.7500 0.4996 0.2498 Tl
0.2500 0.7500 0.2504 Ir
0.7500 0.2500 0.7496 Ir
0.2500 0.2500 0.2499 N
0.7500 0.7500 0.7501 N
```

The density of states at the Fermi level is 19.326 states/eV per cell. Its formation energy from raw total energies is -0.4474 eV per atom. Its space group is Pmmn (59).

***

No. 16
A geometry-optimized Tb3Tm2PuS6 structure, computed with GGA-PBE.

Geometry as POSCAR:
```
Tb3Tm2PuS6
1.0
8.5098 -1.9418 0.0000
8.5098 1.9418 0.0000
-1.8076 0.0000 7.6257
Tb Tm Pu S
3 2 1 6
Direct
0.0000 0.0000 0.0000 Tb
0.3356 0.3356 0.6644 Tb
0.6644 0.6644 0.3356 Tb
0.3361 0.3361 0.1720 Tm
0.6639 0.6639 0.8280 Tm
0.0000 0.0000 0.5000 Pu
0.1685 0.1685 0.5899 S
0.1696 0.1696 0.0787 S
0.4981 0.4981 0.2476 S
0.5019 0.5019 0.7524 S
0.8304 0.8304 0.9213 S
0.8315 0.8315 0.4101 S
```

The density of states at the Fermi level is 6.870 states/eV per cell. Its formation energy from raw total energies is -1.9676 eV per atom. Its space group is C2/m (12).

***

No. 17
A geometry-optimized Sr2AlIn3 structure, computed with GGA-PBE.

Geometry as POSCAR:
```
Sr2AlIn3
1.0
5.0032 0.0000 0.0000
-2.5016 4.3329 0.0000
0.0000 0.0000 8.0254
Sr Al In
2 1 3
Direct
0.0000 0.0000 0.0000 Sr
0.0000 0.0000 0.4935 Sr
0.3333 0.6667 0.2953 Al
0.3333 0.6667 0.6951 In
0.6667 0.3333 0.2135 In
0.6667 0.3333 0.7916 In
```

The density of states at the Fermi level is 1.162 states/eV per cell. The formation energy from the elements is -0.392 eV per atom. Its space group is P3m1 (156).

***

No. 18
A geometry-optimized K3Ni structure, computed with GGA-PBE.

Geometry as POSCAR:
```
K3Ni
1.0
4.4057 0.0000 0.0000
0.0000 4.5321 0.0000
0.0000 0.0000 10.1926
K Ni
3 1
Direct
0.0000 0.0000 0.0000 K
0.0000 0.5000 0.3278 K
0.5000 0.0000 0.6774 K
0.5000 0.5000 0.9253 Ni
```

The density of states at the Fermi level is 9.277 states/eV per cell. The formation energy from the elements is 0.575 eV per atom. Its space group is Pmm2 (25). Its energy above the most stable polymorph in this dataset is 0.061 eV per atom.

***

No. 19
A geometry-optimized Pm6Ho3Tm2 structure, computed with GGA-PBE.

Geometry as POSCAR:
```
Pm6Ho3Tm2
1.0
-2.3783 2.3783 16.7277
2.3783 -2.3783 16.7277
2.3783 2.3783 -16.7277
Pm Ho Tm
6 3 2
Direct
0.1198 0.6198 0.5000 Pm
0.2002 0.2002 0.0000 Pm
0.3802 0.8802 0.5000 Pm
0.6198 0.1198 0.5000 Pm
0.7998 0.7998 0.0000 Pm
0.8802 0.3802 0.5000 Pm
0.3028 0.3028 0.0000 Ho
0.5000 0.5000 0.0000 Ho
0.6972 0.6972 0.0000 Ho
0.0453 0.0453 0.0000 Tm
0.9547 0.9547 0.0000 Tm
```

The density of states at the Fermi level is 16.421 states/eV per cell. The formation energy from the elements is 0.300 eV per atom. Its space group is I4/mmm (139). Its energy above the most stable polymorph in this dataset is 0.284 eV per atom.

***

No. 20
A geometry-optimized Nd2MgSb3Pt4 structure, computed with GGA-PBE.

Geometry as POSCAR:
```
Nd2MgSb3Pt4
1.0
4.4844 0.0000 0.0000
0.0000 4.4844 0.0000
0.0000 0.0000 11.0596
Nd Mg Sb Pt
2 1 3 4
Direct
0.0000 0.5000 0.2325 Nd
0.5000 0.0000 0.7675 Nd
0.0000 0.0000 0.5000 Mg
0.0000 0.5000 0.8654 Sb
0.5000 0.0000 0.1346 Sb
0.5000 0.5000 0.5000 Sb
0.0000 0.0000 0.0000 Pt
0.0000 0.5000 0.6323 Pt
0.5000 0.0000 0.3677 Pt
0.5000 0.5000 0.0000 Pt
```

The density of states at the Fermi level is 4.693 states/eV per cell. Its formation energy from raw total energies is -0.8887 eV per atom. Its space group is P-4m2 (115).

***

No. 21
A geometry-optimized TiCrTcRh structure, computed with GGA-PBE.

Geometry as POSCAR:
```
TiCrTcRh
1.0
0.0000 3.0576 3.0576
3.0576 0.0000 3.0576
3.0576 3.0576 0.0000
Ti Cr Tc Rh
1 1 1 1
Direct
0.0000 0.0000 0.0000 Ti
0.5000 0.5000 0.5000 Cr
0.7500 0.7500 0.7500 Tc
0.2500 0.2500 0.2500 Rh
```

The density of states at the Fermi level is 2.427 states/eV per cell. The formation energy from the elements is -0.314 eV per atom. Its space group is F-43m (216).

***

No. 22
A geometry-optimized Ac2LaTmBi4 structure, computed with GGA-PBE.

Geometry as POSCAR:
```
Ac2LaTmBi4
1.0
8.1865 0.0000 0.0000
0.0000 4.7360 0.0000
-2.7331 0.0000 7.7187
Ac La Tm Bi
2 1 1 4
Direct
0.0000 0.0000 0.0000 Ac
0.5000 0.5000 0.0000 Ac
0.0000 0.5000 0.5000 La
0.5000 0.0000 0.5000 Tm
0.2518 0.0000 0.7343 Bi
0.2640 0.5000 0.2708 Bi
0.7360 0.5000 0.7292 Bi
0.7482 0.0000 0.2657 Bi
```

The density of states at the Fermi level is 0.941 states/eV per cell. The formation energy from the elements is -0.940 eV per atom. Its space group is P2/m (10).

***

No. 23
A geometry-optimized HfPa2V structure, computed with GGA-PBE.

Geometry as POSCAR:
```
HfPa2V
1.0
3.1426 0.0000 0.0000
0.0000 3.1426 0.0000
0.0000 0.0000 8.9341
Hf Pa V
1 2 1
Direct
0.0000 0.0000 0.0000 Hf
0.5000 0.5000 0.2770 Pa
0.5000 0.5000 0.7230 Pa
0.0000 0.0000 0.5000 V
```

The density of states at the Fermi level is 9.036 states/eV per cell. The formation energy from the elements is 0.265 eV per atom. Its space group is P4/mmm (123). Its energy above the most stable polymorph in this dataset is 0.000 eV per atom.